The following is a DFT calculation (PBE with a Hubbard U) of LuCoPO after structural relaxation.

Structure (POSCAR):
```
LuCoPO
1.0
4.3549 0.0000 0.0000
0.0000 4.3549 0.0000
0.0000 0.0000 8.3236
Co Lu O P
2 2 2 2
direct
0.2500 0.2500 0.9745 Co
0.7500 0.7500 0.0255 Co
0.2500 0.7500 0.5000 Lu
0.7500 0.2500 0.5000 Lu
0.2500 0.7500 0.0000 O
0.7500 0.2500 0.0000 O
0.2500 0.2500 0.6766 P
0.7500 0.7500 0.3234 P
```

Calculated values
* VASP energy: -5.47 eV per atom
* energy relative to the lowest polymorph listed for this composition: 1.331 eV per atom